Crystalline PtPbCl at its relaxed geometry, computed with GGA-PBE.

Values from the calculation:
**Excess energy over the best structure of this formula in the dataset**: 0.000 eV/atom
**Formation energy without anion corrections**: -170 meV per atom
**D(E_F)**: 1.91 states/eV per cell
**DFT total energy**: -4.03 eV/atom

Cell and atoms, written as CIF:
```
data_PtPbCl
_chemical_formula_sum 'Pt1 Pb1 Cl1'
_cell_length_a 4.057
_cell_length_b 4.057
_cell_length_c 5.252
_cell_angle_alpha 90.00
_cell_angle_beta 90.00
_cell_angle_gamma 120.00
_space_group_name_H-M_alt 'P 1'
_space_group_IT_number 1
loop_
_space_group_symop_operation_xyz
'x,y,z'
loop_
_atom_site_label
_atom_site_fract_x
_atom_site_fract_y
_atom_site_fract_z
Cl1 0.000 0.000 0.940
Pb1 0.667 0.333 0.400
Pt1 0.333 0.667 0.659
```

***

Crystalline PtPb2Cl at its relaxed geometry, computed with GGA-PBE.

Values from the calculation:
**Excess energy over the best structure of this formula in the dataset**: 0.619 eV/atom
**Formation energy without anion corrections**: 153 meV per atom
**D(E_F)**: 2.94 states/eV per cell
**DFT total energy**: -3.67 eV/atom

Cell and atoms, written as CIF:
```
data_PtPb2Cl
_chemical_formula_sum 'Pt1 Pb2 Cl1'
_cell_length_a 5.146
_cell_length_b 5.146
_cell_length_c 5.146
_cell_angle_alpha 60.00
_cell_angle_beta 60.00
_cell_angle_gamma 60.00
_space_group_name_H-M_alt 'P 1'
_space_group_IT_number 1
loop_
_space_group_symop_operation_xyz
'x,y,z'
loop_
_atom_site_label
_atom_site_fract_x
_atom_site_fract_y
_atom_site_fract_z
Pb1 0.000 0.000 0.000
Pb2 0.250 0.250 0.250
Cl1 0.500 0.500 0.500
Pt1 0.750 0.750 0.750
```

***

Crystalline PtPbCl2 at its relaxed geometry, computed with GGA-PBE.

Values from the calculation:
**Excess energy over the best structure of this formula in the dataset**: 0.217 eV/atom
**Formation energy without anion corrections**: -155 meV per atom
**D(E_F)**: 1.02 states/eV per cell
**DFT total energy**: -3.52 eV/atom

Cell and atoms, written as CIF:
```
data_PtPbCl2
_chemical_formula_sum 'Pt1 Pb1 Cl2'
_cell_length_a 9.395
_cell_length_b 9.395
_cell_length_c 9.395
_cell_angle_alpha 21.12
_cell_angle_beta 21.12
_cell_angle_gamma 21.12
_space_group_name_H-M_alt 'P 1'
_space_group_IT_number 1
loop_
_space_group_symop_operation_xyz
'x,y,z'
loop_
_atom_site_label
_atom_site_fract_x
_atom_site_fract_y
_atom_site_fract_z
Cl1 0.917 0.917 0.917
Cl2 0.083 0.083 0.083
Pb1 0.500 0.500 0.500
Pt1 0.000 0.000 0.000
```

***

Crystalline PtPbCl2 at its relaxed geometry, computed with GGA-PBE.

Values from the calculation:
**Excess energy over the best structure of this formula in the dataset**: 0.262 eV/atom
**Formation energy without anion corrections**: -111 meV per atom
**D(E_F)**: 1.96 states/eV per cell
**DFT total energy**: -3.47 eV/atom

Cell and atoms, written as CIF:
```
data_PtPbCl2
_chemical_formula_sum 'Pt1 Pb1 Cl2'
_cell_length_a 4.703
_cell_length_b 5.344
_cell_length_c 4.673
_cell_angle_alpha 67.25
_cell_angle_beta 83.40
_cell_angle_gamma 112.94
_space_group_name_H-M_alt 'P 1'
_space_group_IT_number 1
loop_
_space_group_symop_operation_xyz
'x,y,z'
loop_
_atom_site_label
_atom_site_fract_x
_atom_site_fract_y
_atom_site_fract_z
Pb1 0.000 0.500 0.500
Cl1 0.500 0.000 0.500
Cl2 0.000 0.000 0.000
Pt1 0.500 0.500 0.000
```

***

Crystalline PtPbCl2 at its relaxed geometry, computed with GGA-PBE.

Values from the calculation:
**Excess energy over the best structure of this formula in the dataset**: 0.431 eV/atom
**Formation energy without anion corrections**: 58 meV per atom
**D(E_F)**: 4.68 states/eV per cell
**DFT total energy**: -3.30 eV/atom

Cell and atoms, written as CIF:
```
data_PtPbCl2
_chemical_formula_sum 'Pt1 Pb1 Cl2'
_cell_length_a 8.544
_cell_length_b 8.544
_cell_length_c 8.544
_cell_angle_alpha 24.03
_cell_angle_beta 24.03
_cell_angle_gamma 24.03
_space_group_name_H-M_alt 'P 1'
_space_group_IT_number 1
loop_
_space_group_symop_operation_xyz
'x,y,z'
loop_
_atom_site_label
_atom_site_fract_x
_atom_site_fract_y
_atom_site_fract_z
Pb1 0.750 0.750 0.750
Pt1 0.250 0.250 0.250
Cl1 0.519 0.519 0.519
Cl2 0.981 0.981 0.981
```

***

Crystalline PtPbCl2 at its relaxed geometry, computed with GGA-PBE.

Values from the calculation:
**Excess energy over the best structure of this formula in the dataset**: 0.257 eV/atom
**Formation energy without anion corrections**: -115 meV per atom
**D(E_F)**: 2.65 states/eV per cell
**DFT total energy**: -3.48 eV/atom

Cell and atoms, written as CIF:
```
data_PtPbCl2
_chemical_formula_sum 'Pt1 Pb1 Cl2'
_cell_length_a 3.515
_cell_length_b 3.515
_cell_length_c 7.899
_cell_angle_alpha 90.00
_cell_angle_beta 90.00
_cell_angle_gamma 90.00
_space_group_name_H-M_alt 'P 1'
_space_group_IT_number 1
loop_
_space_group_symop_operation_xyz
'x,y,z'
loop_
_atom_site_label
_atom_site_fract_x
_atom_site_fract_y
_atom_site_fract_z
Pt1 0.500 0.500 0.739
Cl1 0.000 0.000 0.914
Cl2 0.500 0.500 0.312
Pb1 0.000 0.000 0.535
```